# 1
Here is a relaxed KCdCl2F crystal from Alexandria. Energies are from PBE.

a b c (Å): 4.027 7.464 9.141
angles (deg): 106.87 90.00 90.00
Fractional coordinates of all 10 atoms:
K 0.250 0.648 0.386
K 0.750 0.352 0.614
Cd 0.250 0.859 0.819
Cd 0.750 0.141 0.181
Cl 0.750 0.939 0.654
Cl 0.750 0.789 0.996
Cl 0.250 0.061 0.346
Cl 0.250 0.211 0.004
F 0.250 0.573 0.663
F 0.750 0.427 0.337

Values from the calculation:
total magnetization	0.00	Bohr magnetons per cell

# 2
Here is a relaxed K2CdClF6 crystal from Alexandria. Energies are from PBE.

a b c (Å): 5.771 5.962 7.100
angles (deg): 64.24 60.41 84.66
Fractional coordinates of all 10 atoms:
K 0.744 0.251 0.483
K 0.256 0.749 0.517
Cd 0.000 0.000 0.000
Cl 0.500 0.500 0.000
F 0.086 0.136 0.636
F 0.692 0.672 0.159
F 0.396 0.796 0.856
F 0.604 0.204 0.144
F 0.308 0.328 0.841
F 0.914 0.864 0.364

Values from the calculation:
total magnetization	1.00	Bohr magnetons per cell

Number 1: formation energy without anion corrections -1786 meV per atom. Number 2: formation energy without anion corrections -1895 meV per atom.